Entry 1:
A relaxed K2TlSeI crystal, computed with PBE.

abc: 6.233 6.233 6.139
angles: 90.00 90.00 90.00
Atoms (fractional coordinates):
K1 0.000 0.500 0.000
K2 0.500 0.000 0.000
Tl1 0.000 0.000 0.500
Se1 0.000 0.000 0.000
I1 0.500 0.500 0.500

Values from the calculation:
VASP energy   -2.794 eV per atom


Entry 2:
A relaxed K2Tl2SeI2 crystal, computed with PBE.

abc: 8.171 8.171 9.593
angles: 122.37 122.37 34.84
Atoms (fractional coordinates):
K1 0.075 0.075 0.291
K2 0.925 0.925 0.709
Tl1 0.295 0.295 0.924
Tl2 0.705 0.705 0.076
Se1 0.500 0.500 0.000
I1 0.328 0.328 0.376
I2 0.672 0.672 0.624

Values from the calculation:
VASP energy   -2.839 eV per atom


Entry 3:
A relaxed K2USe2I4 crystal, computed with PBE.

abc: 7.911 7.911 8.288
angles: 120.21 120.21 63.08
Atoms (fractional coordinates):
K1 0.245 0.245 0.262
K2 0.755 0.755 0.738
U1 0.000 0.000 0.500
Se1 0.227 0.227 0.656
Se2 0.773 0.773 0.344
I1 0.214 0.706 0.209
I2 0.294 0.786 0.791
I3 0.706 0.214 0.209
I4 0.786 0.294 0.791

Values from the calculation:
VASP energy   -3.977 eV per atom


Entry 4:
A relaxed KYSeI crystal, computed with PBE.

abc: 8.686 8.686 8.686
angles: 28.30 28.30 28.30
Atoms (fractional coordinates):
K1 0.000 0.000 0.000
Y1 0.193 0.193 0.193
Se1 0.585 0.585 0.585
I1 0.776 0.776 0.776

Values from the calculation:
VASP energy   -4.495 eV per atom


Entry 5:
A relaxed K2ZrSeI crystal, computed with PBE.

abc: 7.256 7.256 5.061
angles: 90.00 90.00 90.00
Atoms (fractional coordinates):
K1 0.000 0.500 0.000
K2 0.500 0.000 0.000
Zr1 0.000 0.000 0.000
Se1 0.000 0.000 0.500
I1 0.500 0.500 0.500

Values from the calculation:
VASP energy   -3.458 eV per atom


Entry 6:
A relaxed K2SiI4 crystal, computed with PBE.

abc: 9.858 9.858 9.858
angles: 145.96 145.96 48.91
Atoms (fractional coordinates):
K1 0.138 0.138 0.000
K2 0.862 0.862 0.000
Si1 0.500 0.500 0.000
I1 0.000 0.500 0.500
I2 0.335 0.335 0.000
I3 0.500 0.000 0.500
I4 0.665 0.665 0.000

Values from the calculation:
VASP energy   -2.806 eV per atom


Entry 7:
A relaxed KSiI2 crystal, computed with PBE.

abc: 9.938 9.938 9.938
angles: 140.43 140.43 57.20
Atoms (fractional coordinates):
K1 0.000 0.000 0.000
K2 0.750 0.250 0.500
Si1 0.250 0.750 0.500
Si2 0.500 0.500 0.000
I1 0.202 0.625 0.077
I2 0.375 0.452 0.577
I3 0.548 0.125 0.923
I4 0.875 0.798 0.423

Values from the calculation:
VASP energy   -2.618 eV per atom


Entry 8:
A relaxed KSi3I crystal, computed with PBE.

abc: 5.481 5.481 5.481
angles: 90.00 90.00 90.00
Atoms (fractional coordinates):
K1 0.000 0.000 0.000
Si1 0.000 0.500 0.500
Si2 0.500 0.000 0.500
Si3 0.500 0.500 0.000
I1 0.500 0.500 0.500

Values from the calculation:
VASP energy   -2.573 eV per atom


Number 1: formation energy (no corrections) -0.875 eV/atom. Number 2: formation energy (no corrections) -0.909 eV/atom. Number 3: formation energy (no corrections) -1.015 eV/atom. Number 4: formation energy (no corrections) -1.346 eV/atom. Number 5: formation energy (no corrections) -0.302 eV/atom. Number 6: formation energy (no corrections) -0.831 eV/atom. Number 7: formation energy (no corrections) -0.213 eV/atom. Number 8: formation energy (no corrections) 1.210 eV/atom.